Crystalline La5Sm12Er2 at its relaxed geometry, computed with PBE.

Cell and atoms, written as extended XYZ:
```
19
Lattice="9.107 -4.646 0.000 9.107 4.646 0.000 -4.083 0.000 7.885" Properties=species:S:1:pos:R:3 pbc="T T T"
La 0.000 0.000 0.000
La 1.043 0.000 6.286
La 4.130 0.000 2.187
La 10.001 0.000 5.698
La 13.089 0.000 1.599
Sm 4.034 2.935 4.666
Sm -1.962 0.000 5.405
Sm 6.644 2.038 0.343
Sm 10.097 2.935 3.219
Sm 7.487 2.038 7.541
Sm 4.791 0.000 6.124
Sm 9.340 0.000 1.761
Sm 6.644 -2.038 0.343
Sm 4.034 -2.935 4.666
Sm 7.487 -2.038 7.541
Sm 16.093 0.000 2.480
Sm 10.097 -2.935 3.219
Er 7.066 1.611 3.942
Er 7.066 -1.611 3.942
```

Calculated values
The formation energy comes out at 0.189 eV/atom. The energy above the most stable polymorph in this dataset is 120 kJ/mol of formula units. The symmetry is No. 12.

=====

Crystalline Sm3AsPN at its relaxed geometry, computed with PBE.

Cell and atoms, written as extended XYZ:
```
12
Lattice="8.459 0.000 0.000 0.000 4.098 0.000 -1.496 0.000 9.068" Properties=species:S:1:pos:R:3 pbc="T T T"
Sm 0.273 1.025 3.207
Sm 1.343 1.025 9.004
Sm 2.336 3.074 5.991
Sm 4.627 1.025 3.078
Sm 5.620 3.074 0.064
Sm 6.689 3.074 5.862
As 2.328 3.074 2.687
As 4.634 1.025 6.382
P 0.267 1.025 5.984
P 6.695 3.074 3.085
N 2.084 3.074 8.186
N 4.878 1.025 0.883
```

Calculated values
The uncorrected formation energy is -1.35 eV/atom. The symmetry is No. 11.

=====

Crystalline Pm3TmCd6 at its relaxed geometry, computed with PBE.

Cell and atoms, written as extended XYZ:
```
20
Lattice="9.343 0.000 0.000 0.000 5.189 0.000 -2.914 0.000 10.767" Properties=species:S:1:pos:R:3 pbc="T T T"
Pm -0.876 1.297 4.219
Pm 0.787 3.892 2.374
Pm 2.443 1.297 0.015
Pm 3.986 3.892 10.752
Pm 5.643 1.297 8.394
Pm 7.306 3.892 6.549
Tm 2.441 1.297 6.445
Tm 3.989 3.892 4.322
Cd -2.211 3.892 9.824
Cd -0.443 1.297 7.584
Cd 1.001 3.892 5.593
Cd 0.901 3.892 8.800
Cd 2.556 1.297 3.275
Cd 3.895 3.892 1.223
Cd 2.535 1.297 9.545
Cd 3.874 3.892 7.493
Cd 5.529 1.297 1.968
Cd 5.428 1.297 5.174
Cd 6.873 3.892 3.183
Cd 8.641 1.297 0.943
```

Calculated values
The formation energy comes out at -0.289 eV/atom. The symmetry is No. 11.